# PBE SnBH, optimized geometry
data_SnBH
_cell_length_a 7.336
_cell_length_b 3.145
_cell_length_c 6.882
_cell_angle_alpha 90.00
_cell_angle_beta 90.00
_cell_angle_gamma 90.00
_space_group_name_H-M_alt 'P n m a'
_space_group_IT_number 62
loop_
_space_group_symop_operation_xyz
'x,y,z'
'-x,-y,-z'
'-x+1/2,-y,z+1/2'
'x+1/2,y,-z+1/2'
'x+1/2,-y+1/2,-z+1/2'
'-x+1/2,y+1/2,z+1/2'
'-x,y+1/2,-z'
'x,-y+1/2,z'
loop_
_atom_site_label
_atom_site_fract_x
_atom_site_fract_y
_atom_site_fract_z
Sn1 0.199 0.250 0.172
B1 0.013 0.250 0.467
H1 0.112 0.250 0.921
# V = 13.23 Å³/atom
# Total DFT energy (no corrections) = -4.184 eV per atom
# Crystal system = orthorhombic
# Distance to the lowest polymorph of the same formula = 15.6 kJ/mol of atoms
# DOS(E_F) = 3.7 states/eV per cell



# PBE SnBH4, optimized geometry
data_SnBH4
_cell_length_a 5.287
_cell_length_b 4.184
_cell_length_c 10.306
_cell_angle_alpha 90.00
_cell_angle_beta 90.81
_cell_angle_gamma 90.00
_space_group_name_H-M_alt 'C 1 2/c 1'
_space_group_IT_number 15
loop_
_space_group_symop_operation_xyz
'x,y,z'
'-x,-y,-z'
'-x,y,-z+1/2'
'x,-y,z+1/2'
'x+1/2,y+1/2,z'
'-x+1/2,-y+1/2,-z'
'-x+1/2,y+1/2,-z+1/2'
'x+1/2,-y+1/2,z+1/2'
loop_
_atom_site_label
_atom_site_fract_x
_atom_site_fract_y
_atom_site_fract_z
Sn1 0.000 0.003 0.250
B1 0.000 0.000 0.000
H1 0.000 0.306 0.000
H2 0.232 0.000 0.003
# V = 9.50 Å³/atom
# Total DFT energy (no corrections) = -3.595 eV per atom
# Crystal system = monoclinic
# DOS(E_F) = 3.1 states/eV per cell



# PBE SnBH3, optimized geometry
data_SnBH3
_cell_length_a 3.916
_cell_length_b 3.916
_cell_length_c 3.916
_cell_angle_alpha 90.00
_cell_angle_beta 90.00
_cell_angle_gamma 90.00
_space_group_name_H-M_alt 'P m -3 m'
_space_group_IT_number 221
_space_group_name_Hall '-P 4 2 3'
loop_
_atom_site_label
_atom_site_fract_x
_atom_site_fract_y
_atom_site_fract_z
Sn1 0.000 0.000 0.000
B1 0.500 0.500 0.500
H1 0.000 0.000 0.500
# V = 12.01 Å³/atom
# Total DFT energy (no corrections) = -2.820 eV per atom
# Crystal system = cubic
# Distance to the lowest polymorph of the same formula = 42.6 kJ/mol of atoms
# DOS(E_F) = 2.6 states/eV per cell



# PBE SnBH, optimized geometry
data_SnBH
_cell_length_a 7.996
_cell_length_b 3.944
_cell_length_c 5.526
_cell_angle_alpha 90.00
_cell_angle_beta 90.00
_cell_angle_gamma 90.00
_space_group_name_H-M_alt 'P n m a'
_space_group_IT_number 62
loop_
_space_group_symop_operation_xyz
'x,y,z'
'-x,-y,-z'
'-x+1/2,-y,z+1/2'
'x+1/2,y,-z+1/2'
'x+1/2,-y+1/2,-z+1/2'
'-x+1/2,y+1/2,z+1/2'
'-x,y+1/2,-z'
'x,-y+1/2,z'
loop_
_atom_site_label
_atom_site_fract_x
_atom_site_fract_y
_atom_site_fract_z
Sn1 0.167 0.250 0.029
B1 0.132 0.750 0.231
H1 0.019 0.750 0.378
# V = 14.52 Å³/atom
# Total DFT energy (no corrections) = -4.346 eV per atom
# Crystal system = orthorhombic
# Distance to the lowest polymorph of the same formula = 0.0 kJ/mol of atoms
# DOS(E_F) = 0.2 states/eV per cell



# PBE SnBH3, optimized geometry
data_SnBH3
_cell_length_a 3.473
_cell_length_b 3.473
_cell_length_c 3.473
_cell_angle_alpha 90.00
_cell_angle_beta 90.00
_cell_angle_gamma 90.00
_space_group_name_H-M_alt 'P m -3 m'
_space_group_IT_number 221
_space_group_name_Hall '-P 4 2 3'
loop_
_atom_site_label
_atom_site_fract_x
_atom_site_fract_y
_atom_site_fract_z
Sn1 0.000 0.000 0.000
B1 0.500 0.500 0.500
H1 0.000 0.500 0.500
# V = 8.38 Å³/atom
# Total DFT energy (no corrections) = -3.261 eV per atom
# Crystal system = cubic
# Distance to the lowest polymorph of the same formula = 0.0 kJ/mol of atoms
# DOS(E_F) = 1.6 states/eV per cell



# PBE SnBH, optimized geometry
data_SnBH
_cell_length_a 7.105
_cell_length_b 3.132
_cell_length_c 7.954
_cell_angle_alpha 90.00
_cell_angle_beta 90.00
_cell_angle_gamma 90.00
_space_group_name_H-M_alt 'P n m a'
_space_group_IT_number 62
loop_
_space_group_symop_operation_xyz
'x,y,z'
'-x,-y,-z'
'-x+1/2,-y,z+1/2'
'x+1/2,y,-z+1/2'
'x+1/2,-y+1/2,-z+1/2'
'-x+1/2,y+1/2,z+1/2'
'-x,y+1/2,-z'
'x,-y+1/2,z'
loop_
_atom_site_label
_atom_site_fract_x
_atom_site_fract_y
_atom_site_fract_z
Sn1 0.245 0.250 0.246
B1 0.000 0.000 0.500
H1 0.008 0.750 0.870
# V = 14.75 Å³/atom
# Total DFT energy (no corrections) = -4.180 eV per atom
# Crystal system = orthorhombic
# Distance to the lowest polymorph of the same formula = 16.0 kJ/mol of atoms
# DOS(E_F) = 2.8 states/eV per cell



# PBE SnB2H6, optimized geometry
data_SnB2H6
_cell_length_a 6.277
_cell_length_b 6.277
_cell_length_c 6.277
_cell_angle_alpha 90.00
_cell_angle_beta 90.00
_cell_angle_gamma 90.00
_space_group_name_H-M_alt 'F m -3 m'
_space_group_IT_number 225
_space_group_name_Hall '-F 4 2 3'
loop_
_atom_site_label
_atom_site_fract_x
_atom_site_fract_y
_atom_site_fract_z
Sn1 0.000 0.000 0.000
B1 0.250 0.250 0.250
H1 0.000 0.000 0.334
# V = 6.87 Å³/atom
# Total DFT energy (no corrections) = -2.695 eV per atom
# Crystal system = cubic
# DOS(E_F) = 9.8 states/eV per cell



# PBE SrBH2, optimized geometry
data_SrBH2
_cell_length_a 5.760
_cell_length_b 5.760
_cell_length_c 5.760
_cell_angle_alpha 90.00
_cell_angle_beta 90.00
_cell_angle_gamma 90.00
_space_group_name_H-M_alt 'F m -3 m'
_space_group_IT_number 225
_space_group_name_Hall '-F 4 2 3'
loop_
_atom_site_label
_atom_site_fract_x
_atom_site_fract_y
_atom_site_fract_z
Sr1 0.000 0.000 0.000
B1 0.000 0.000 0.500
H1 0.250 0.250 0.250
# V = 11.95 Å³/atom
# Total DFT energy (no corrections) = -3.103 eV per atom
# Crystal system = cubic
# Distance to the lowest polymorph of the same formula = 26.6 kJ/mol of atoms
# DOS(E_F) = 9.3 states/eV per cell